Entry from Alexandria: a relaxed Mg3Al4Pd4 crystal (PBE).

a = 7.6399 Å, b = 7.6399 Å, c = 7.6399 Å
α = 149.31°, β = 121.10°, γ = 67.88°
With the nearest neighbours (Å) after each atom.
Positions (direct):
Mg 0.0000 0.0000 0.0000  6 Pd 3.04-3.14, 8 Al 3.31
Mg 0.3875 0.8875 0.5000  6 Pd 2.76-2.82, 1 Mg 2.85, 2 Al 3.02
Mg 0.6125 0.1125 0.5000  6 Pd 2.76-2.82, 1 Mg 2.85, 2 Al 3.02
Al 0.0087 0.3241 0.6846  4 Pd 2.45-2.60
Al 0.3604 0.6759 0.6846  4 Pd 2.45-2.60
Al 0.6396 0.3241 0.3154  4 Pd 2.45-2.60
Al 0.9913 0.6759 0.3154  4 Pd 2.45-2.60
Pd 0.2398 0.2398 0.0000  6 Al 2.58-2.60, 2 Mg 2.76
Pd 0.3195 0.5000 0.8195  2 Al 2.45, 1 Pd 2.71
Pd 0.6805 0.5000 0.1805  2 Al 2.45, 1 Pd 2.71
Pd 0.7602 0.7602 0.0000  6 Al 2.58-2.60, 2 Mg 2.76

Calculated values
Crystal system: orthorhombic
ΔE_f: -595 meV/atom
Total moment: 0.0000 μB/atom
DOS(E_F): 2.68 states/eV/cell